Material: Ce4InSn
Method: DFT, GGA-PBE
State: optimized geometry

Results
**Energy**: -5.37 eV per atom
**D(E_F)**: 2.499 states/eV/atom
**SG**: C2/m, No. 12

Cell lengths 6.199, 6.199, 5.216 Å; angles 114.66, 114.66, 98.07 degrees
Sites, in units of the cell vectors:
Ce (0.073, 0.425, 0.226)
Ce (0.425, 0.073, 0.226)
Ce (0.575, 0.927, 0.774)
Ce (0.927, 0.575, 0.774)
In (0.000, 0.000, 0.500)
Sn (0.500, 0.500, 0.000)